Compound: CoRu2W
Source: Alexandria via LeMat-Bulk
Functional: PBE-GGA
Structure: optimized geometry

Cell and atoms, written as extended XYZ:
```
4
Lattice="3.1468 0.0000 0.0000 0.0000 3.1468 0.0000 0.0000 0.0000 5.6068" Properties=species:S:1:pos:R:3 pbc="T T T"
Co 1.5734 1.5734 4.2310
Ru 0.0000 0.0000 5.3948
Ru 1.5734 1.5734 1.4359
W 0.0000 0.0000 2.9554
```

Values from the calculation:
E_form   0.21 eV/atom
Energy relative to the lowest polymorph listed for this composition   22.9 kJ/mol of atoms